Computed, not measured: crystalline Pr4Er2In at its relaxed geometry at the PBE-GGA level of DFT.

Output
Crystal system = trigonal
Magnetic moment = 0.0 μB per formula unit
Calculated formation energy = -0.03 eV per atom
Energy = -4.451 eV per atom

Lattice parameters (Å, degrees): 5.6726 5.6726 24.3784 90.00 90.00 120.00
Space group R-3m (No. 166, hexagonal axes)
Asymmetric unit:
Pr 0.0000 0.0000 0.0681
Pr 0.0000 0.0000 0.2120
Er 0.0000 0.0000 0.3584
In 0.0000 0.0000 0.5000